DFT (PBE+U) results for a geometry-optimized NaNi3O structure.

As for the raw total energy: -2.56 eV per atom. The offset from the most stable computed form is 0.00 eV/f.u.

CIF file:
```
data_NaNi3O
_chemical_formula_sum 'Na1 Ni3 O1'
_space_group_name_H-M_alt 'P 1'
_space_group_IT_number 1
_cell_length_a 4.076
_cell_length_b 4.076
_cell_length_c 4.076
_cell_angle_alpha 90.00
_cell_angle_beta 90.00
_cell_angle_gamma 90.00
loop_
_space_group_symop_operation_xyz
'x,y,z'
loop_
_atom_site_label
_atom_site_type_symbol
_atom_site_fract_x
_atom_site_fract_y
_atom_site_fract_z
_atom_site_occupancy
Ni1 Ni 0.000 0.500 0.000 1
Ni2 Ni 0.000 0.000 0.500 1
Ni3 Ni 0.500 0.000 0.000 1
O1 O 0.000 0.000 0.000 1
Na1 Na 0.500 0.500 0.500 1
```